No. 1
Density functional theory data (PBEsol) for crystalline La5Mg at its relaxed geometry.

Energy of formation from the pure elements, meV per atom: -10
DFT total energy, eV per atom: -4.752
Total moment, μB per cell: 0.00

abc: 12.032 3.633 9.739
angles: 90.00 114.40 90.00
Space group Cm (No. 8)
One atom of each set of equivalent atoms:
La: 0.000 0.000 0.000 [2 per cell]
La: 0.004 0.000 0.478 [2 per cell]
La: 0.172 0.500 0.830 [2 per cell]
La: 0.180 0.500 0.319 [2 per cell]
La: 0.342 0.000 0.661 [2 per cell]
Mg: 0.337 0.000 0.155 [2 per cell]

No. 2
Density functional theory data (PBEsol) for crystalline ZrZnCr2 at its relaxed geometry.

Energy of formation from the pure elements, meV per atom: 285
DFT total energy, eV per atom: -7.504
Total moment, μB per cell: 0.00

abc: 8.907 3.086 4.576
angles: 90.00 108.44 90.00
Space group C2/m (No. 12)
One atom of each set of equivalent atoms:
Zr: 0.000 0.000 0.000 [2 per cell]
Zn: 0.000 0.500 0.500 [2 per cell]
Cr: 0.243 0.000 0.673 [4 per cell]

No. 3
Density functional theory data (PBEsol) for crystalline Re2SiCl at its relaxed geometry.

DFT total energy, eV per atom: -8.091
Total moment, μB per cell: 0.00

abc: 9.930 2.917 4.039
angles: 90.00 103.59 90.00
Space group Cm (No. 8)
One atom of each set of equivalent atoms:
Re: 0.000 0.000 0.000 [2 per cell]
Re: 0.240 0.500 0.298 [2 per cell]
Si: 0.287 0.000 0.840 [2 per cell]
Cl: 0.032 0.500 0.490 [2 per cell]

No. 4
Density functional theory data (PBEsol) for crystalline Al3GaIr at its relaxed geometry.

Energy of formation from the pure elements, meV per atom: -73
DFT total energy, eV per atom: -5.161
Total moment, μB per cell: 0.00

abc: 4.722 4.722 4.722
angles: 90.00 90.00 90.00
Space group Pm-3m (No. 221)
One atom of each set of equivalent atoms:
Al: 0.000 0.000 0.500 [3 per cell]
Ga: 0.500 0.500 0.500 [1 per cell]
Ir: 0.000 0.000 0.000 [1 per cell]

No. 5
Density functional theory data (PBEsol) for crystalline Cr3P at its relaxed geometry.

Energy of formation from the pure elements, meV per atom: -434
DFT total energy, eV per atom: -9.564
Total moment, μB per cell: 0.00

abc: 4.408 4.408 4.408
angles: 90.00 90.00 90.00
Space group Pm-3n (No. 223)
One atom of each set of equivalent atoms:
Cr: 0.000 0.250 0.500 [6 per cell]
P: 0.000 0.000 0.000 [2 per cell]

No. 6
Density functional theory data (PBEsol) for crystalline CoRh at its relaxed geometry.

Energy of formation from the pure elements, meV per atom: 55
DFT total energy, eV per atom: -7.882
Total moment, μB per cell: 4.15

abc: 4.135 2.615 4.452
angles: 90.00 90.00 90.00
Space group Pmma (No. 51)
One atom of each set of equivalent atoms:
Co: 0.250 0.000 0.163 [2 per cell]
Rh: 0.250 0.500 0.676 [2 per cell]

No. 7
Density functional theory data (PBEsol) for crystalline In3FeN at its relaxed geometry.

DFT total energy, eV per atom: -4.197
Total moment, μB per cell: 3.54

abc: 4.890 4.890 4.890
angles: 90.00 90.00 90.00
Space group Pm-3m (No. 221)
One atom of each set of equivalent atoms:
In: 0.000 0.000 0.500 [3 per cell]
Fe: 0.000 0.000 0.000 [1 per cell]
N: 0.500 0.500 0.500 [1 per cell]

No. 8
Density functional theory data (PBEsol) for crystalline Tl3VSe2S2 at its relaxed geometry.

DFT total energy, eV per atom: -4.781
Total moment, μB per cell: 0.00

abc: 10.353 10.894 7.557
angles: 90.00 90.00 90.00
Space group Fmm2 (No. 42)
One atom of each set of equivalent atoms:
Tl: 0.000 0.000 0.000 [4 per cell]
Tl: 0.250 0.250 0.450 [8 per cell]
V: 0.000 0.000 0.490 [4 per cell]
Se: 0.000 0.174 0.660 [8 per cell]
S: 0.167 0.000 0.324 [8 per cell]

No. 9
Density functional theory data (PBEsol) for crystalline La3TeH at its relaxed geometry.

DFT total energy, eV per atom: -4.150
Total moment, μB per cell: 0.72

abc: 5.940 5.940 5.940
angles: 90.00 90.00 90.00
Space group Pm-3m (No. 221)
One atom of each set of equivalent atoms:
La: 0.000 0.000 0.500 [3 per cell]
Te: 0.000 0.000 0.000 [1 per cell]
H: 0.500 0.500 0.500 [1 per cell]

No. 10
Density functional theory data (PBEsol) for crystalline TePb2Au2 at its relaxed geometry.

DFT total energy, eV per atom: -3.951
Total moment, μB per cell: 0.00

abc: 7.619 7.619 4.221
angles: 90.00 90.00 90.00
Space group P4/mbm (No. 127)
One atom of each set of equivalent atoms:
Te: 0.000 0.000 0.000 [2 per cell]
Pb: 0.168 0.332 0.500 [4 per cell]
Au: 0.130 0.630 0.000 [4 per cell]

No. 11
Density functional theory data (PBEsol) for crystalline Dy6Ti4Al43 at its relaxed geometry.

Energy of formation from the pure elements, meV per atom: -340
DFT total energy, eV per atom: -4.851
Total moment, μB per cell: 0.00

abc: 10.9723 10.9723 17.7170
angles: 90.00 90.00 120.00
Space group P6_3/mcm (No. 193)
One atom of each set of equivalent atoms:
Dy: 0.0000 0.4712 0.0960 [12 per cell]
Ti: 0.0000 0.0000 0.0000 [2 per cell]
Ti: 0.0000 0.2722 0.2500 [6 per cell]
Al: 0.0000 0.1470 0.7500 [6 per cell]
Al: 0.0000 0.1561 0.1164 [12 per cell]
Al: 0.0000 0.2530 0.5288 [12 per cell]
Al: 0.1493 0.5532 0.2500 [12 per cell]
Al: 0.1593 0.3934 0.6634 [24 per cell]
Al: 0.2474 0.4948 0.0000 [12 per cell]
Al: 0.3333 0.6667 0.1257 [8 per cell]

No. 12
Density functional theory data (PBEsol) for crystalline Na10SrSn12 at its relaxed geometry.

Energy of formation from the pure elements, meV per atom: -271
DFT total energy, eV per atom: -3.182
Total moment, μB per cell: 0.00

abc: 11.143 11.143 11.143
angles: 90.00 90.00 90.00
Space group I-43m (No. 217)
One atom of each set of equivalent atoms:
Na: 0.000 0.250 0.500 [12 per cell]
Na: 0.194 0.194 0.806 [8 per cell]
Sr: 0.000 0.000 0.000 [2 per cell]
Sn: 0.092 0.092 0.281 [24 per cell]

No. 13
Density functional theory data (PBEsol) for crystalline InRe2Ni at its relaxed geometry.

Energy of formation from the pure elements, meV per atom: 465
DFT total energy, eV per atom: -8.486
Total moment, μB per cell: 0.00

abc: 2.750 3.851 5.744
angles: 90.00 90.00 90.00
Space group Pmmm (No. 47)
One atom of each set of equivalent atoms:
In: 0.000 0.000 0.000 [1 per cell]
Re: 0.500 0.500 0.295 [2 per cell]
Ni: 0.000 0.000 0.500 [1 per cell]

No. 14
Density functional theory data (PBEsol) for crystalline GaSn2Te2 at its relaxed geometry.

DFT total energy, eV per atom: -3.702
Total moment, μB per cell: 0.00

abc: 4.266 4.266 16.086
angles: 90.00 90.00 90.00
Space group I4/mmm (No. 139)
One atom of each set of equivalent atoms:
Ga: 0.000 0.000 0.000 [2 per cell]
Sn: 0.000 0.500 0.250 [4 per cell]
Te: 0.000 0.000 0.409 [4 per cell]

No. 15
Density functional theory data (PBEsol) for crystalline MnFe at its relaxed geometry.

Energy of formation from the pure elements, meV per atom: 4
DFT total energy, eV per atom: -9.359
Total moment, μB per cell: 0.00

abc: 2.4381 2.4381 7.7713
angles: 90.00 90.00 120.00
Space group P-3m1 (No. 164)
One atom of each set of equivalent atoms:
Mn: 0.3333 0.6667 0.1287 [2 per cell]
Fe: 0.3333 0.6667 0.6240 [2 per cell]

No. 16
Density functional theory data (PBEsol) for crystalline K2Be2Si3O9 at its relaxed geometry.

DFT total energy, eV per atom: -7.371
Total moment, μB per cell: 0.00

abc: 10.234 6.922 12.147
angles: 90.00 106.89 90.00
Space group P2_1/c (No. 14)
One atom of each set of equivalent atoms:
K: 0.040 0.129 0.358 [4 per cell]
K: 0.440 0.611 0.853 [4 per cell]
Be: 0.070 0.591 0.457 [4 per cell]
Be: 0.436 0.573 0.558 [4 per cell]
Si: 0.244 0.180 0.127 [4 per cell]
Si: 0.257 0.031 0.818 [4 per cell]
Si: 0.262 0.614 0.080 [4 per cell]
O: 0.099 0.072 0.066 [4 per cell]
O: 0.120 0.697 0.998 [4 per cell]
O: 0.121 0.507 0.355 [4 per cell]
O: 0.241 0.247 0.757 [4 per cell]
O: 0.260 0.123 0.555 [4 per cell]
O: 0.265 0.627 0.218 [4 per cell]
O: 0.375 0.047 0.142 [4 per cell]
O: 0.398 0.019 0.923 [4 per cell]
O: 0.399 0.701 0.059 [4 per cell]

No. 17
Density functional theory data (PBEsol) for crystalline AlAsOs2 at its relaxed geometry.

Energy of formation from the pure elements, meV per atom: 340
DFT total energy, eV per atom: -8.067
Total moment, μB per cell: 0.00

abc: 2.915 4.863 8.272
angles: 90.00 90.00 90.00
Space group Cmmm (No. 65)
One atom of each set of equivalent atoms:
Al: 0.000 0.000 0.000 [2 per cell]
As: 0.000 0.000 0.500 [2 per cell]
Os: 0.000 0.500 0.248 [4 per cell]

No. 18
Density functional theory data (PBEsol) for crystalline AsOsPdO2 at its relaxed geometry.

DFT total energy, eV per atom: -7.142
Total moment, μB per cell: 0.00

abc: 3.674 3.674 5.478
angles: 90.00 90.00 90.00
Space group P4/mmm (No. 123)
One atom of each set of equivalent atoms:
As: 0.000 0.000 0.000 [1 per cell]
Os: 0.000 0.000 0.500 [1 per cell]
Pd: 0.500 0.500 0.000 [1 per cell]
O: 0.000 0.500 0.500 [2 per cell]